No. 1
! GGA-PBE TaReRu2, relaxed; values from VASP
&SYSTEM
  ibrav = 0, nat = 4, ntyp = 3
/
ATOMIC_SPECIES
Ta 180.95 Ta.upf
Re 186.21 Re.upf
Ru 101.07 Ru.upf
CELL_PARAMETERS angstrom
2.847 0.000 0.000
0.000 3.799 0.000
-0.009 0.000 5.673
ATOMIC_POSITIONS angstrom
Ta 0.000 0.000 0.000
Re 1.417 1.900 1.628
Ru 1.419 1.900 4.313
Ru 2.841 0.000 2.811
! Space-group type   No. 6
! Crystal system   monoclinic
! DOS at the Fermi energy   1.09 states/eV/atom
! Energy above the most stable polymorph in this dataset   89 meV per atom
! DFT formation energy   -8 kJ/mol of formula units



No. 2
! GGA-PBE In2FeNi, relaxed; values from VASP
&SYSTEM
  ibrav = 0, nat = 4, ntyp = 3
/
ATOMIC_SPECIES
In 114.82 In.upf
Fe 55.84 Fe.upf
Ni 58.69 Ni.upf
CELL_PARAMETERS angstrom
-1.479 2.247 5.109
1.479 -2.247 5.109
1.479 2.247 -5.109
ATOMIC_POSITIONS angstrom
In 0.000 0.000 0.000
In 0.000 2.247 2.153
Fe 0.000 0.000 4.500
Ni 1.479 0.000 2.493
! Space-group type   No. 44
! Crystal system   orthorhombic
! DOS at the Fermi energy   0.94 states/eV/atom
! DFT formation energy   65 kJ/mol of formula units



No. 3
! GGA-PBE Nd12Y5Ho2, relaxed; values from VASP
&SYSTEM
  ibrav = 0, nat = 19, ntyp = 3
/
ATOMIC_SPECIES
Nd 144.24 Nd.upf
Y 88.91 Y.upf
Ho 164.93 Ho.upf
CELL_PARAMETERS angstrom
11.231 -3.576 0.000
11.231 3.576 0.000
-3.056 0.000 8.252
ATOMIC_POSITIONS angstrom
Nd 4.578 1.809 5.828
Nd 0.482 0.000 1.607
Nd 8.504 1.835 0.949
Nd 10.902 1.835 7.303
Nd 6.683 0.000 3.629
Nd 14.828 1.809 2.425
Nd 4.578 -1.809 5.828
Nd 12.722 0.000 4.623
Nd 8.504 -1.835 0.949
Nd 10.902 -1.835 7.303
Nd 18.924 0.000 6.645
Nd 14.828 -1.809 2.425
Y 1.541 0.000 4.931
Y 5.613 0.000 0.076
Y 11.231 0.000 0.000
Y 13.793 0.000 8.176
Y 17.864 0.000 3.321
Ho 9.703 1.840 4.126
Ho 9.703 -1.840 4.126
! Space-group type   No. 12
! Crystal system   monoclinic
! DOS at the Fermi energy   1.43 states/eV/atom
! Energy above the most stable polymorph in this dataset   0 meV per atom
! DFT formation energy   244 kJ/mol of formula units



No. 4
! GGA-PBE Ce3Pm2Si3, relaxed; values from VASP
&SYSTEM
  ibrav = 0, nat = 8, ntyp = 3
/
ATOMIC_SPECIES
Ce 140.12 Ce.upf
Pm 145.00 Pm.upf
Si 28.09 Si.upf
CELL_PARAMETERS angstrom
-2.010 2.433 10.198
2.010 -2.433 10.198
2.010 2.433 -10.198
ATOMIC_POSITIONS angstrom
Ce 0.000 0.000 0.000
Ce 2.010 0.000 8.000
Ce 0.000 2.433 2.199
Pm 0.000 0.000 4.697
Pm 0.000 0.000 15.700
Si 2.010 0.000 2.528
Si 0.000 0.000 10.198
Si 0.000 2.433 7.671
! Final energy   -5.808 eV per atom
! Space-group type   No. 71
! Crystal system   orthorhombic
! DOS at the Fermi energy   1.88 states/eV/atom



No. 5
! GGA-PBE PdPb2I, relaxed; values from VASP
&SYSTEM
  ibrav = 0, nat = 4, ntyp = 3
/
ATOMIC_SPECIES
Pd 106.42 Pd.upf
Pb 207.20 Pb.upf
I 126.90 I.upf
CELL_PARAMETERS angstrom
0.000 3.815 3.815
3.815 0.000 3.815
3.815 3.815 0.000
ATOMIC_POSITIONS angstrom
Pd 0.000 0.000 0.000
Pb 1.907 1.907 1.907
Pb 5.722 5.722 5.722
I 3.815 3.815 3.815
! Space-group type   No. 225
! Crystal system   cubic
! DOS at the Fermi energy   0.77 states/eV/atom
! Energy above the most stable polymorph in this dataset   370 meV per atom



No. 6
! GGA-PBE Ba2TlHg6Bi, relaxed; values from VASP
&SYSTEM
  ibrav = 0, nat = 10, ntyp = 4
/
ATOMIC_SPECIES
Ba 137.33 Ba.upf
Tl 204.38 Tl.upf
Hg 200.59 Hg.upf
Bi 208.98 Bi.upf
CELL_PARAMETERS angstrom
0.000 5.802 5.802
5.802 0.000 5.802
5.802 5.802 0.000
ATOMIC_POSITIONS angstrom
Ba 2.901 2.901 2.901
Ba 8.703 8.703 8.703
Tl 0.000 0.000 0.000
Hg 5.802 5.802 2.867
Hg 5.802 2.867 5.802
Hg 8.738 5.802 5.802
Hg 2.867 5.802 5.802
Hg 5.802 8.738 5.802
Hg 5.802 5.802 8.738
Bi 5.802 5.802 5.802
! Space-group type   No. 225
! Crystal system   cubic
! DOS at the Fermi energy   0.59 states/eV/atom
! DFT formation energy   -64 kJ/mol of formula units



No. 7
! GGA-PBE RbCoRu, relaxed; values from VASP
&SYSTEM
  ibrav = 0, nat = 6, ntyp = 3
/
ATOMIC_SPECIES
Rb 85.47 Rb.upf
Co 58.93 Co.upf
Ru 101.07 Ru.upf
CELL_PARAMETERS angstrom
3.533 -2.040 0.000
3.533 2.040 0.000
-2.207 0.000 11.918
ATOMIC_POSITIONS angstrom
Rb 0.000 0.000 0.000
Rb -0.006 0.000 7.271
Co -0.001 0.000 3.505
Co 2.356 0.000 2.406
Ru 2.352 0.000 4.732
Ru 4.709 0.000 3.494
! Space-group type   No. 8
! Crystal system   monoclinic
! DOS at the Fermi energy   1.68 states/eV/atom
! Energy above the most stable polymorph in this dataset   59 meV per atom
! DFT formation energy   200 kJ/mol of formula units



No. 8
! GGA-PBE RbCd2Ga, relaxed; values from VASP
&SYSTEM
  ibrav = 0, nat = 4, ntyp = 3
/
ATOMIC_SPECIES
Rb 85.47 Rb.upf
Cd 112.41 Cd.upf
Ga 69.72 Ga.upf
CELL_PARAMETERS angstrom
3.775 0.000 0.000
0.000 3.775 0.000
0.000 0.000 8.495
ATOMIC_POSITIONS angstrom
Rb 0.000 0.000 0.000
Cd 1.888 1.888 2.717
Cd 1.888 1.888 5.778
Ga 0.000 0.000 4.248
! Space-group type   No. 123
! Crystal system   tetragonal
! DOS at the Fermi energy   0.61 states/eV/atom
! DFT formation energy   26 kJ/mol of formula units



No. 9
! GGA-PBE LiAcGa2Au5, relaxed; values from VASP
&SYSTEM
  ibrav = 0, nat = 9, ntyp = 4
/
ATOMIC_SPECIES
Li 6.94 Li.upf
Ac 227.00 Ac.upf
Ga 69.72 Ga.upf
Au 196.97 Au.upf
CELL_PARAMETERS angstrom
5.016 0.000 0.000
0.000 5.016 0.000
0.000 0.000 7.842
ATOMIC_POSITIONS angstrom
Li 0.000 0.000 0.000
Ac 0.000 0.000 3.921
Ga 2.508 2.508 1.254
Ga 2.508 2.508 6.589
Au 0.000 2.508 1.801
Au 0.000 2.508 6.041
Au 2.508 0.000 1.801
Au 2.508 0.000 6.041
Au 2.508 2.508 3.921
! Space-group type   No. 123
! Crystal system   tetragonal
! DOS at the Fermi energy   0.31 states/eV/atom
! DFT formation energy   -354 kJ/mol of formula units



No. 10
! GGA-PBE Pr2ZrTe5, relaxed; values from VASP
&SYSTEM
  ibrav = 0, nat = 16, ntyp = 3
/
ATOMIC_SPECIES
Pr 140.91 Pr.upf
Zr 91.22 Zr.upf
Te 127.60 Te.upf
CELL_PARAMETERS angstrom
3.053 -7.521 0.000
3.053 7.521 0.000
0.000 0.000 14.543
ATOMIC_POSITIONS angstrom
Pr 3.053 5.216 8.166
Pr 3.053 5.216 13.649
Pr 3.053 -5.216 0.894
Pr 3.053 -5.216 6.377
Zr 3.053 4.683 3.636
Zr 3.053 -4.683 10.907
Te 3.053 6.818 1.797
Te 3.053 6.818 5.474
Te 3.053 3.375 10.907
Te 3.053 2.808 1.304
Te 3.053 2.808 5.968
Te 3.053 -2.808 8.575
Te 3.053 -2.808 13.239
Te 3.053 -3.375 3.636
Te 3.053 -6.818 9.068
Te 3.053 -6.818 12.746
! Final energy   -5.313 eV per atom
! Space-group type   No. 63
! Crystal system   orthorhombic



No. 11
! GGA-PBE KRbNa2Li, relaxed; values from VASP
&SYSTEM
  ibrav = 0, nat = 5, ntyp = 4
/
ATOMIC_SPECIES
K 39.10 K.upf
Rb 85.47 Rb.upf
Na 22.99 Na.upf
Li 6.94 Li.upf
CELL_PARAMETERS angstrom
6.282 0.000 0.000
0.000 6.282 0.000
0.000 0.000 6.721
ATOMIC_POSITIONS angstrom
K 0.000 0.000 0.000
Rb 3.141 3.141 0.000
Na 0.000 3.141 3.361
Na 3.141 0.000 3.361
Li 0.000 0.000 3.361
! Space-group type   No. 123
! Crystal system   tetragonal
! DOS at the Fermi energy   0.60 states/eV/atom
! Energy above the most stable polymorph in this dataset   0 meV per atom
! DFT formation energy   58 kJ/mol of formula units



No. 12
! GGA-PBE KVHg, relaxed; values from VASP
&SYSTEM
  ibrav = 0, nat = 6, ntyp = 3
/
ATOMIC_SPECIES
K 39.10 K.upf
V 50.94 V.upf
Hg 200.59 Hg.upf
CELL_PARAMETERS angstrom
4.995 -3.618 0.000
4.995 3.618 0.000
-2.285 0.000 4.434
ATOMIC_POSITIONS angstrom
K 0.000 0.000 0.000
K 0.750 0.000 3.318
V 4.392 0.000 3.031
V 5.516 0.000 1.550
Hg 2.801 1.856 1.603
Hg 2.801 -1.856 1.603
! Space-group type   No. 8
! Crystal system   monoclinic
! DOS at the Fermi energy   0.84 states/eV/atom
! Energy above the most stable polymorph in this dataset   191 meV per atom
! DFT formation energy   141 kJ/mol of formula units



No. 13
! GGA-PBE NbSiO, relaxed; values from VASP
&SYSTEM
  ibrav = 0, nat = 6, ntyp = 3
/
ATOMIC_SPECIES
Nb 92.91 Nb.upf
Si 28.09 Si.upf
O 16.00 O.upf
CELL_PARAMETERS angstrom
11.146 0.000 0.000
0.000 1.409 2.637
0.000 -1.409 2.637
ATOMIC_POSITIONS angstrom
Nb 2.128 0.000 0.000
Nb 9.018 0.000 0.000
Si 0.000 0.000 1.794
Si 5.573 0.000 0.976
O 3.451 0.000 3.611
O 7.695 0.000 3.611
! Final energy   -7.778 eV per atom
! Space-group type   No. 38
! Crystal system   orthorhombic
! DOS at the Fermi energy   0.48 states/eV/atom



No. 14
! GGA-PBE Ti2SnW, relaxed; values from VASP
&SYSTEM
  ibrav = 0, nat = 4, ntyp = 3
/
ATOMIC_SPECIES
Ti 47.87 Ti.upf
Sn 118.71 Sn.upf
W 183.84 W.upf
CELL_PARAMETERS angstrom
1.564 0.903 8.731
-1.564 0.903 8.731
0.000 -1.805 8.731
ATOMIC_POSITIONS angstrom
Ti 0.000 0.000 6.324
Ti 0.000 0.000 19.869
Sn 0.000 0.000 0.000
W 0.000 0.000 13.097
! Space-group type   No. 166
! Crystal system   trigonal
! DOS at the Fermi energy   0.61 states/eV/atom
! DFT formation energy   5 kJ/mol of formula units



No. 15
! GGA-PBE SrLaTe2N, relaxed; values from VASP
&SYSTEM
  ibrav = 0, nat = 5, ntyp = 4
/
ATOMIC_SPECIES
Sr 87.62 Sr.upf
La 138.91 La.upf
Te 127.60 Te.upf
N 14.01 N.upf
CELL_PARAMETERS angstrom
6.435 0.000 0.000
0.000 6.435 0.000
0.000 0.000 4.139
ATOMIC_POSITIONS angstrom
Sr 0.000 0.000 0.000
La 3.217 3.217 2.070
Te 0.000 3.217 2.070
Te 3.217 0.000 2.070
N 3.217 3.217 0.000
! Space-group type   No. 123
! Crystal system   tetragonal
! DOS at the Fermi energy   0.63 states/eV/atom
! Energy above the most stable polymorph in this dataset   0 meV per atom



No. 16
! GGA-PBE Nd2NiAg, relaxed; values from VASP
&SYSTEM
  ibrav = 0, nat = 4, ntyp = 3
/
ATOMIC_SPECIES
Nd 144.24 Nd.upf
Ni 58.69 Ni.upf
Ag 107.87 Ag.upf
CELL_PARAMETERS angstrom
1.996 1.153 7.705
-1.996 1.153 7.705
0.000 -2.305 7.705
ATOMIC_POSITIONS angstrom
Nd 0.000 0.000 5.484
Nd 0.000 0.000 17.631
Ni 0.000 0.000 11.557
Ag 0.000 0.000 0.000
! Space-group type   No. 166
! Crystal system   trigonal
! DOS at the Fermi energy   0.92 states/eV/atom
! DFT formation energy   -57 kJ/mol of formula units



No. 17
! GGA-PBE ZrZn3Au3, relaxed; values from VASP
&SYSTEM
  ibrav = 0, nat = 14, ntyp = 3
/
ATOMIC_SPECIES
Zr 91.22 Zr.upf
Zn 65.41 Zn.upf
Au 196.97 Au.upf
CELL_PARAMETERS angstrom
6.922 0.000 0.000
0.000 6.922 0.000
0.000 0.000 6.922
ATOMIC_POSITIONS angstrom
Zr 0.000 0.000 0.000
Zr 3.461 3.461 3.461
Zn 0.000 1.731 3.461
Zn 0.000 5.192 3.461
Zn 1.731 3.461 0.000
Zn 3.461 0.000 1.731
Zn 3.461 0.000 5.192
Zn 5.192 3.461 0.000
Au 0.000 3.461 1.731
Au 0.000 3.461 5.192
Au 1.731 0.000 3.461
Au 3.461 1.731 0.000
Au 3.461 5.192 0.000
Au 5.192 0.000 3.461
! Space-group type   No. 223
! Crystal system   cubic
! DOS at the Fermi energy   0.83 states/eV/atom
! Energy above the most stable polymorph in this dataset   744 meV per atom
! DFT formation energy   307 kJ/mol of formula units



No. 18
! GGA-PBE Co6W7, relaxed; values from VASP
&SYSTEM
  ibrav = 0, nat = 13, ntyp = 2
/
ATOMIC_SPECIES
Co 58.93 Co.upf
W 183.84 W.upf
CELL_PARAMETERS angstrom
2.559 1.478 8.603
-2.559 1.478 8.603
0.000 -2.955 8.603
ATOMIC_POSITIONS angstrom
Co 0.000 0.000 1.135
Co 0.000 0.000 3.884
Co 0.000 0.000 8.603
Co 0.000 0.000 17.206
Co 0.000 0.000 21.925
Co 0.000 0.000 24.674
W -1.291 -0.745 10.781
W 0.000 -1.490 15.029
W -1.291 0.745 15.029
W 0.000 0.000 12.905
W 1.291 -0.745 10.781
W 0.000 1.490 10.781
W 1.291 0.745 15.029
! Space-group type   No. 166
! Crystal system   trigonal
! DOS at the Fermi energy   1.03 states/eV/atom
! DFT formation energy   755 kJ/mol of formula units



No. 19
! GGA-PBE Mg2NbNi2, relaxed; values from VASP
&SYSTEM
  ibrav = 0, nat = 10, ntyp = 3
/
ATOMIC_SPECIES
Mg 24.30 Mg.upf
Nb 92.91 Nb.upf
Ni 58.69 Ni.upf
CELL_PARAMETERS angstrom
6.290 0.000 0.000
0.000 6.290 0.000
0.000 0.000 4.113
ATOMIC_POSITIONS angstrom
Mg 1.090 2.055 0.000
Mg 2.055 5.200 0.000
Mg 4.235 1.090 0.000
Mg 5.200 4.235 0.000
Nb 0.000 0.000 2.057
Nb 3.145 3.145 2.057
Ni 0.808 3.953 2.057
Ni 2.337 0.808 2.057
Ni 3.953 5.481 2.057
Ni 5.481 2.337 2.057
! Space-group type   No. 127
! Crystal system   tetragonal
! DOS at the Fermi energy   0.94 states/eV/atom
! Energy above the most stable polymorph in this dataset   0 meV per atom
! DFT formation energy   -10 kJ/mol of formula units



No. 20
! GGA-PBE NaZnI3, relaxed; values from VASP
&SYSTEM
  ibrav = 0, nat = 10, ntyp = 3
/
ATOMIC_SPECIES
Na 22.99 Na.upf
Zn 65.41 Zn.upf
I 126.90 I.upf
CELL_PARAMETERS angstrom
5.527 0.000 0.000
0.000 7.661 0.000
-1.153 0.000 11.362
ATOMIC_POSITIONS angstrom
Na 0.825 1.915 5.271
Na 3.550 5.746 6.091
Zn 2.748 5.746 0.017
Zn 1.626 1.915 11.344
I 0.786 5.746 4.977
I 0.674 3.840 9.695
I 0.674 7.652 9.695
I 3.700 0.010 1.667
I 3.700 3.821 1.667
I 3.588 1.915 6.385
! Space-group type   No. 11
! Crystal system   monoclinic
! DOS at the Fermi energy   0.00 states/eV/atom
! Energy above the most stable polymorph in this dataset   0 meV per atom



No. 21
! GGA-PBE Zr2AgCl, relaxed; values from VASP
&SYSTEM
  ibrav = 0, nat = 4, ntyp = 3
/
ATOMIC_SPECIES
Zr 91.22 Zr.upf
Ag 107.87 Ag.upf
Cl 35.45 Cl.upf
CELL_PARAMETERS angstrom
3.243 0.000 0.000
0.000 4.688 0.000
0.000 0.000 5.610
ATOMIC_POSITIONS angstrom
Zr 0.000 0.000 0.000
Zr 1.621 0.000 2.805
Ag 0.000 2.344 2.805
Cl 1.621 2.344 0.000
! Space-group type   No. 47
! Crystal system   orthorhombic
! DOS at the Fermi energy   1.03 states/eV/atom
! Energy above the most stable polymorph in this dataset   503 meV per atom



No. 22
! GGA-PBE Li2UCr3N6, relaxed; values from VASP
&SYSTEM
  ibrav = 0, nat = 12, ntyp = 4
/
ATOMIC_SPECIES
Li 6.94 Li.upf
U 238.03 U.upf
Cr 52.00 Cr.upf
N 14.01 N.upf
CELL_PARAMETERS angstrom
2.533 -4.422 0.000
2.533 4.422 0.000
-1.488 0.000 5.043
ATOMIC_POSITIONS angstrom
Li 2.533 2.972 0.000
Li 2.533 -2.972 0.000
U 2.533 0.000 0.000
Cr -0.744 0.000 2.521
Cr 1.789 1.704 2.521
Cr 1.789 -1.704 2.521
N 0.104 1.471 3.672
N 0.953 0.000 1.394
N 0.104 -1.471 3.672
N 3.474 1.471 1.371
N 2.625 0.000 3.648
N 3.474 -1.471 1.371
! Final energy   -8.631 eV per atom
! Space-group type   No. 12
! Crystal system   monoclinic
! DOS at the Fermi energy   0.42 states/eV/atom



No. 23
! GGA-PBE InNi2Rh, relaxed; values from VASP
&SYSTEM
  ibrav = 0, nat = 4, ntyp = 3
/
ATOMIC_SPECIES
In 114.82 In.upf
Ni 58.69 Ni.upf
Rh 102.91 Rh.upf
CELL_PARAMETERS angstrom
2.773 -3.511 0.000
2.773 3.511 0.000
0.000 0.000 2.879
ATOMIC_POSITIONS angstrom
In 0.000 0.000 0.000
Ni 1.386 1.755 1.439
Ni 1.386 -1.755 1.439
Rh 2.773 0.000 0.000
! Space-group type   No. 65
! Crystal system   orthorhombic
! DOS at the Fermi energy   1.48 states/eV/atom
! DFT formation energy   -5 kJ/mol of formula units



No. 24
! GGA-PBE TeMoPb2, relaxed; values from VASP
&SYSTEM
  ibrav = 0, nat = 4, ntyp = 3
/
ATOMIC_SPECIES
Te 127.60 Te.upf
Mo 95.94 Mo.upf
Pb 207.20 Pb.upf
CELL_PARAMETERS angstrom
1.772 -2.800 0.000
1.772 2.800 0.000
0.000 0.000 10.762
ATOMIC_POSITIONS angstrom
Te 0.000 0.000 0.000
Mo 1.772 0.000 1.970
Pb 0.000 0.000 4.328
Pb 1.772 0.000 7.347
! Final energy   -4.913 eV per atom
! Space-group type   No. 35
! Crystal system   orthorhombic
! DOS at the Fermi energy   0.88 states/eV/atom



No. 25
! GGA-PBE La8Er4Mg, relaxed; values from VASP
&SYSTEM
  ibrav = 0, nat = 13, ntyp = 3
/
ATOMIC_SPECIES
La 138.91 La.upf
Er 167.26 Er.upf
Mg 24.30 Mg.upf
CELL_PARAMETERS angstrom
3.602 2.079 10.197
-3.602 2.079 10.197
0.000 -4.159 10.197
ATOMIC_POSITIONS angstrom
La 0.000 0.000 6.598
La -1.883 -1.087 17.583
La 0.000 -2.175 13.008
La -1.883 1.087 13.008
La 1.883 -1.087 17.583
La 0.000 2.175 17.583
La 1.883 1.087 13.008
La 0.000 0.000 23.992
Er 0.000 0.000 0.000
Er -1.801 -1.040 10.197
Er -1.801 1.040 20.393
Er 0.000 2.079 10.197
Mg 0.000 0.000 15.295
! Space-group type   No. 166
! Crystal system   trigonal
! DOS at the Fermi energy   1.31 states/eV/atom
! DFT formation energy   184 kJ/mol of formula units